Entry 1:
## La2ScCo (PBE-GGA)

Data for an optimized crystal structure of La2ScCo.

```
4
Lattice="-1.7725 2.7538 5.3985 1.7725 -2.7538 5.3985 1.7725 2.7538 -5.3985" Properties=species:S:1:pos:R:3 pbc="T T T"
La 0.0000 0.0000 0.0000
La 0.0000 2.7538 1.9940
Sc 1.7725 0.0000 3.4046
Co 0.0000 0.0000 5.2201
```

Summary:
energy of formation from the pure elements	-7	meV per atom
raw total energy	-5.8298	eV/atom
E above lowest polymorph	0.07	eV/f.u.

Entry 2:
## LaSc2Co (PBE-GGA)

Data for an optimized crystal structure of LaSc2Co.

```
4
Lattice="1.8584 1.0729 8.3353 -1.8584 1.0729 8.3353 0.0000 -2.1459 8.3353" Properties=species:S:1:pos:R:3 pbc="T T T"
La 0.0000 0.0000 0.0000
Sc 0.0000 0.0000 5.4563
Sc 0.0000 0.0000 19.5496
Co 0.0000 0.0000 12.5030
```

Summary:
energy of formation from the pure elements	-21	meV per atom
raw total energy	-6.1954	eV/atom
E above lowest polymorph	0.49	eV/f.u.

Entry 3:
## LaSc2Co (PBE-GGA)

Data for an optimized crystal structure of LaSc2Co.

```
4
Lattice="3.1185 -3.8135 0.0000 3.1185 3.8135 0.0000 0.0000 0.0000 3.6843" Properties=species:S:1:pos:R:3 pbc="T T T"
La 0.0000 0.0000 0.0000
Sc 1.5593 1.9068 1.8422
Sc 1.5593 -1.9068 1.8422
Co 3.1185 0.0000 0.0000
```

Summary:
energy of formation from the pure elements	299	meV per atom
raw total energy	-5.8750	eV/atom
E above lowest polymorph	1.77	eV/f.u.

Entry 4:
## LaSc2Co (PBE-GGA)

Data for an optimized crystal structure of LaSc2Co.

```
4
Lattice="3.9365 0.0000 0.0000 0.0000 4.4608 0.0000 0.0000 0.0000 5.0416" Properties=species:S:1:pos:R:3 pbc="T T T"
La 0.0000 0.0000 0.0000
Sc 0.0000 2.2304 2.5208
Sc 1.9683 0.0000 2.5208
Co 1.9683 2.2304 0.0000
```

Summary:
energy of formation from the pure elements	170	meV per atom
raw total energy	-6.0043	eV/atom
E above lowest polymorph	1.25	eV/f.u.

Entry 5:
## LaSc2Co (PBE-GGA)

Data for an optimized crystal structure of LaSc2Co.

```
4
Lattice="3.7703 0.0000 0.0000 0.0000 3.4543 0.0000 -1.8721 0.0000 7.4397" Properties=species:S:1:pos:R:3 pbc="T T T"
La 0.0000 0.0000 0.0000
Sc 0.0110 1.7271 4.9287
Sc 1.8950 0.0000 2.9212
Co 0.0102 1.7271 2.3881
```

Summary:
energy of formation from the pure elements	-27	meV per atom
raw total energy	-6.2012	eV/atom
E above lowest polymorph	0.46	eV/f.u.

Entry 6:
## LaSc2Co (PBE-GGA)

Data for an optimized crystal structure of LaSc2Co.

```
4
Lattice="3.3371 0.0000 0.0000 0.0000 3.3371 0.0000 0.0000 0.0000 8.3504" Properties=species:S:1:pos:R:3 pbc="T T T"
La 0.0000 0.0000 0.0000
Sc 0.0000 0.0000 5.0978
Sc 1.6686 1.6686 2.8511
Co 1.6686 1.6686 6.4437
```

Summary:
energy of formation from the pure elements	-2	meV per atom
raw total energy	-6.1762	eV/atom
E above lowest polymorph	0.56	eV/f.u.

Entry 7:
## La2Sc2Co (PBE-GGA)

Data for an optimized crystal structure of La2Sc2Co.

```
10
Lattice="6.7045 0.0000 0.0000 0.0000 6.7045 0.0000 0.0000 0.0000 5.7352" Properties=species:S:1:pos:R:3 pbc="T T T"
La 1.1401 2.2121 0.0000
La 2.2121 5.5643 0.0000
La 4.4924 1.1401 0.0000
La 5.5643 4.4924 0.0000
Sc 1.1110 4.4632 2.8676
Sc 2.2413 1.1110 2.8676
Sc 4.4632 5.5935 2.8676
Sc 5.5935 2.2413 2.8676
Co 0.0000 0.0000 2.8676
Co 3.3522 3.3522 2.8676
```

Summary:
energy of formation from the pure elements	62	meV per atom
raw total energy	-5.8626	eV/atom

Entry 8:
## La2ScCo (PBE-GGA)

Data for an optimized crystal structure of La2ScCo.

```
4
Lattice="3.1263 -4.9057 0.0000 3.1263 4.9057 0.0000 -1.2631 0.0000 3.2337" Properties=species:S:1:pos:R:3 pbc="T T T"
La 1.5631 2.4528 0.0000
La 1.5631 -2.4528 0.0000
Sc -0.6315 0.0000 1.6169
Co 2.4948 0.0000 1.6169
```

Summary:
energy of formation from the pure elements	387	meV per atom
raw total energy	-5.4356	eV/atom
E above lowest polymorph	1.65	eV/f.u.

Entry 9:
## LaSc2Co (PBE-GGA)

Data for an optimized crystal structure of LaSc2Co.

```
4
Lattice="1.7108 0.9877 9.8275 -1.7108 0.9877 9.8275 0.0000 -1.9755 9.8275" Properties=species:S:1:pos:R:3 pbc="T T T"
La 0.0000 0.0000 0.0000
Sc 0.0000 0.0000 3.3892
Sc 0.0000 0.0000 26.0932
Co 0.0000 0.0000 14.7412
```

Summary:
energy of formation from the pure elements	90	meV per atom
raw total energy	-6.0841	eV/atom
E above lowest polymorph	0.93	eV/f.u.

Entry 10:
## La2ScCo (PBE-GGA)

Data for an optimized crystal structure of La2ScCo.

```
4
Lattice="-1.8325 2.7184 5.1563 1.8325 -2.7184 5.1563 1.8325 2.7184 -5.1563" Properties=species:S:1:pos:R:3 pbc="T T T"
La 0.0000 0.0000 1.9730
La 0.0000 0.0000 8.3396
Sc 0.0000 2.7184 0.0000
Co 1.8325 0.0000 0.0000
```

Summary:
energy of formation from the pure elements	20	meV per atom
raw total energy	-5.8034	eV/atom
E above lowest polymorph	0.18	eV/f.u.

Entry 11:
## La2ScCo (PBE-GGA)

Data for an optimized crystal structure of La2ScCo.

```
4
Lattice="4.3924 0.0000 0.0000 0.0000 3.8992 0.0000 -1.6006 0.0000 6.1438" Properties=species:S:1:pos:R:3 pbc="T T T"
La 0.1242 0.0000 1.8023
La 2.6676 0.0000 4.3415
Sc 2.1962 1.9496 0.0000
Co 1.3959 1.9496 3.0719
```

Summary:
energy of formation from the pure elements	64	meV per atom
raw total energy	-5.7592	eV/atom
E above lowest polymorph	0.36	eV/f.u.

Entry 12:
## LaScTaCo2 (PBE-GGA)

Data for an optimized crystal structure of LaScTaCo2.

```
5
Lattice="4.6247 0.0000 0.0000 0.0000 4.6247 0.0000 0.0000 0.0000 4.9099" Properties=species:S:1:pos:R:3 pbc="T T T"
La 0.0000 0.0000 0.0000
Sc 2.3124 2.3124 2.4549
Ta 2.3124 2.3124 0.0000
Co 0.0000 2.3124 2.4549
Co 2.3124 0.0000 2.4549
```

Summary:
energy of formation from the pure elements	978	meV per atom
raw total energy	-6.4868	eV/atom

Entry 13:
## LaSc2TiCo (PBE-GGA)

Data for an optimized crystal structure of LaSc2TiCo.

```
5
Lattice="4.9185 0.0000 0.0000 0.0000 4.9185 0.0000 0.0000 0.0000 4.7779" Properties=species:S:1:pos:R:3 pbc="T T T"
La 0.0000 0.0000 0.0000
Sc 0.0000 2.4593 2.3889
Sc 2.4593 0.0000 2.3889
Ti 2.4593 2.4593 0.0000
Co 2.4593 2.4593 2.3889
```

Summary:
energy of formation from the pure elements	-18	meV per atom
raw total energy	-6.5359	eV/atom

Entry 14:
## LaSc2TlCo (PBE-GGA)

Data for an optimized crystal structure of LaSc2TlCo.

```
5
Lattice="4.9847 0.0000 0.0000 0.0000 4.9847 0.0000 0.0000 0.0000 5.1352" Properties=species:S:1:pos:R:3 pbc="T T T"
La 0.0000 0.0000 0.0000
Sc 0.0000 2.4923 2.5676
Sc 2.4923 0.0000 2.5676
Tl 2.4923 2.4923 0.0000
Co 0.0000 0.0000 2.5676
```

Summary:
energy of formation from the pure elements	-158	meV per atom
raw total energy	-5.5701	eV/atom
E above lowest polymorph	0.00	eV/f.u.